# 1
Below is an optimized crystal structure of Tm3VO6, with properties calculated at the GGA+U level.

abc: 9.3109 9.3109 10.7000
angles: 90.00 90.00 120.00
Space group R-3 (No. 148, hexagonal axes)
Unique sites:
Tm (0.0423, 0.7751, 0.2032) (multiplicity 18)
V (0.0000, 0.0000, 0.0000) (multiplicity 3)
V (0.0000, 0.0000, 0.5000) (multiplicity 3)
O (0.0274, 0.8195, 0.4027) (multiplicity 18)
O (0.0280, 0.8424, 0.8812) (multiplicity 18)

## Properties
For the uncorrected energy, the calculation gives -83.22 eV/f.u. The distance to the lowest polymorph of the same formula is 0 meV/atom. The total moment is 12.00 μB per cell.

---

# 2
Below is an optimized crystal structure of TmVO3, with properties calculated at the GGA+U level.

abc: 6.0253 5.7167 7.0247
angles: 90.00 93.53 90.00
Space group P2_1/c (No. 14)
Unique sites:
Tm (0.1483, 0.1951, 0.1730) (multiplicity 4)
V (0.4055, 0.7332, 0.0715) (multiplicity 4)
O (0.0874, 0.6705, 0.6176) (multiplicity 4)
O (0.2893, 0.0815, 0.4635) (multiplicity 4)
O (0.4677, 0.5841, 0.3327) (multiplicity 4)

## Properties
For the uncorrected energy, the calculation gives -40.79 eV/f.u. The total moment is 8.00 μB per cell.

---

# 3
Below is an optimized crystal structure of Tm2VO, with properties calculated at the GGA+U level.

abc: 3.2865 3.2865 26.0026
angles: 90.00 90.00 120.00
Space group R-3m (No. 166, hexagonal axes)
Unique sites:
Tm (0.0000, 0.0000, 0.1134) (multiplicity 6)
V (0.0000, 0.0000, 0.0000) (multiplicity 3)
O (0.0000, 0.0000, 0.5000) (multiplicity 3)

## Properties
For the uncorrected energy, the calculation gives -24.23 eV/f.u. The total moment is 8.41 μB per cell.

---

# 4
Below is an optimized crystal structure of TmV2WO8, with properties calculated at the GGA+U level.

abc: 6.6351 6.7206 6.3554
angles: 90.00 90.00 90.00
Space group Cmmm (No. 65)
Unique sites:
Tm (0.0000, 0.0000, 0.0000) (multiplicity 2)
V (0.0000, 0.5000, 0.2455) (multiplicity 4)
W (0.0000, 0.0000, 0.5000) (multiplicity 2)
O (0.0000, 0.2959, 0.5000) (multiplicity 4)
O (0.0000, 0.3220, 0.0000) (multiplicity 4)
O (0.2015, 0.0000, 0.2786) (multiplicity 8)

## Properties
For the uncorrected energy, the calculation gives -94.25 eV/f.u. The total moment is 6.00 μB per cell.

---

Q: Among the records above, which one has the lowest total moment?
A: TmV2WO8

---

Q: total moment of number 4 (TmV2WO8)?
A: 6.00 μB per cell

---

Please write out number 1 again, unchanged.
Below is an optimized crystal structure of Tm3VO6, with properties calculated at the GGA+U level.

abc: 9.3109 9.3109 10.7000
angles: 90.00 90.00 120.00
Space group R-3 (No. 148, hexagonal axes)
Unique sites:
Tm (0.0423, 0.7751, 0.2032) (multiplicity 18)
V (0.0000, 0.0000, 0.0000) (multiplicity 3)
V (0.0000, 0.0000, 0.5000) (multiplicity 3)
O (0.0274, 0.8195, 0.4027) (multiplicity 18)
O (0.0280, 0.8424, 0.8812) (multiplicity 18)

## Properties
For the uncorrected energy, the calculation gives -83.22 eV/f.u. The distance to the lowest polymorph of the same formula is 0 meV/atom. The total moment is 12.00 μB per cell.

---

Q: Which of these has the lowest uncorrected energy?
A: TmV2WO8